1.
Here is a geometry-optimized Ba2CdGa2S6 structure from the Alexandria database. Energies are from PBE-GGA.

Cell lengths 8.2875, 8.2875, 8.2875 Å; angles 50.60, 50.60, 50.60 degrees
Element x y z (fractional)
1 Ba 0.2137 0.2137 0.2137
2 Ba 0.7863 0.7863 0.7863
3 Cd 0.0000 0.0000 0.0000
4 Ga 0.4202 0.4202 0.4202
5 Ga 0.5798 0.5798 0.5798
6 S 0.2211 0.7547 0.7547
7 S 0.2453 0.2453 0.7789
8 S 0.2453 0.7789 0.2453
9 S 0.7547 0.2211 0.7547
10 S 0.7547 0.7547 0.2211
11 S 0.7789 0.2453 0.2453

E_tot: -4.274 eV per atom
Spin magnetization: 0.00 μB/f.u.

2.
Here is a geometry-optimized Ba2CdGa4Si3 structure from the Alexandria database. Energies are from PBE-GGA.

Cell lengths 4.7348, 4.7348, 10.2754 Å; angles 90.00, 90.00, 90.00 degrees
Element x y z (fractional)
1 Ba 0.0000 0.5000 0.2453
2 Ba 0.5000 0.0000 0.7547
3 Cd 0.0000 0.0000 0.5000
4 Ga 0.0000 0.0000 0.0000
5 Ga 0.0000 0.5000 0.6351
6 Ga 0.5000 0.0000 0.3649
7 Ga 0.5000 0.5000 0.0000
8 Si 0.0000 0.5000 0.8850
9 Si 0.5000 0.0000 0.1150
10 Si 0.5000 0.5000 0.5000

E_tot: -3.578 eV per atom
Spin magnetization: 0.00 μB/f.u.

3.
Here is a geometry-optimized BaCdGa2Si structure from the Alexandria database. Energies are from PBE-GGA.

Cell lengths 6.3611, 6.3611, 6.3611 Å; angles 136.89, 136.69, 62.76 degrees
Element x y z (fractional)
1 Ba 0.0000 0.0000 0.0000
2 Cd 0.2505 0.7505 0.5000
3 Ga 0.6166 0.6166 0.0000
4 Ga 0.7520 0.2520 0.5000
5 Si 0.3840 0.3840 0.0000

E_tot: -3.175 eV per atom
Spin magnetization: 0.00 μB/f.u.

4.
Here is a geometry-optimized BaSmCdGa structure from the Alexandria database. Energies are from PBE-GGA.

Cell lengths 5.5868, 5.5868, 5.5868 Å; angles 60.00, 60.00, 60.00 degrees
Element x y z (fractional)
1 Ba 0.0000 0.0000 0.0000
2 Sm 0.5000 0.5000 0.5000
3 Cd 0.7500 0.7500 0.7500
4 Ga 0.2500 0.2500 0.2500

E_tot: -2.897 eV per atom
Calculated formation energy: -0.2515 eV/atom
Spin magnetization: 0.00 μB/f.u.

5.
Here is a geometry-optimized Ba2Cd4Ga3Sn structure from the Alexandria database. Energies are from PBE-GGA.

Cell lengths 4.8057, 4.8057, 11.7368 Å; angles 90.00, 90.00, 90.00 degrees
Element x y z (fractional)
1 Ba 0.0000 0.5000 0.2460
2 Ba 0.5000 0.0000 0.7540
3 Cd 0.0000 0.0000 0.0000
4 Cd 0.0000 0.5000 0.6406
5 Cd 0.5000 0.0000 0.3594
6 Cd 0.5000 0.5000 0.0000
7 Ga 0.0000 0.5000 0.8722
8 Ga 0.5000 0.0000 0.1278
9 Ga 0.5000 0.5000 0.5000
10 Sn 0.0000 0.0000 0.5000

E_tot: -2.404 eV per atom
Calculated formation energy: -0.3446 eV/atom
Spin magnetization: 0.00 μB/f.u.

6.
Here is a geometry-optimized BaCd2GaSn structure from the Alexandria database. Energies are from PBE-GGA.

Cell lengths 6.9467, 6.9467, 6.9467 Å; angles 140.30, 139.01, 58.39 degrees
Element x y z (fractional)
1 Ba 0.0000 0.0000 0.0000
2 Cd 0.6123 0.6123 0.0000
3 Cd 0.7600 0.2600 0.5000
4 Ga 0.3894 0.3894 0.0000
5 Sn 0.2546 0.7546 0.5000

E_tot: -2.525 eV per atom
Calculated formation energy: -0.3687 eV/atom
Spin magnetization: 0.00 μB/f.u.